A relaxed structure of LaHg2Os. Source: the Alexandria database, functional GGA-PBE.

```
LaHg2Os
1.0
3.4554 0.0000 0.0000
0.0000 4.9974 0.0000
-1.5630 0.0000 5.3417
La Hg Os
1 2 1
Direct
0.0000 0.0000 0.0000
0.3641 0.5000 0.7217
0.6359 0.5000 0.2783
0.5000 0.0000 0.5000
```

formation enthalpy at 0 K = 0.213 eV/atom
calculated total energy = -0.2923 Ry per atom
space-group type = P2/m, No. 10

***

A relaxed structure of Ba2Cu2AsO6. Source: the Alexandria database, functional GGA-PBE.

```
Ba2Cu2AsO6
1.0
5.0563 -2.9458 0.0000
5.0563 2.9458 0.0000
-3.2021 0.0000 5.2745
Ba Cu As O
2 2 1 6
Direct
0.2217 0.2217 0.1721
0.7783 0.7783 0.8279
0.4175 0.4175 0.7387
0.5825 0.5825 0.2613
0.0000 0.0000 0.5000
0.2129 0.7766 0.2687
0.2190 0.2190 0.7090
0.2234 0.7871 0.7313
0.7766 0.2129 0.2687
0.7810 0.7810 0.2910
0.7871 0.2234 0.7313
```

calculated total energy = -0.4229 Ry per atom
space-group type = C2/m, No. 12